DFT (GGA-PBE) results for an optimized crystal structure of Dy3Ho5Mg.

E: -67.3 eV for the cell shown
N(E_F): 1.325 states/eV per atom
space-group type: C2/m (12)

a b c (Å): 9.369 9.369 11.538
angles (deg): 52.87 52.87 74.92
Fractional positions:
Dy 0.688 0.688 0.825
Dy 0.661 0.661 0.357
Dy 0.000 0.000 0.000
Dy 0.000 0.000 0.500
Dy 0.312 0.312 0.175
Dy 0.339 0.339 0.643
Ho 0.849 0.342 0.249
Ho 0.258 0.742 0.000
Ho 0.811 0.811 0.970
Ho 0.480 0.480 0.247
Ho 0.520 0.520 0.753
Ho 0.189 0.189 0.030
Ho 0.342 0.849 0.249
Ho 0.742 0.258 0.000
Ho 0.151 0.658 0.751
Ho 0.658 0.151 0.751
Mg 0.141 0.141 0.607
Mg 0.859 0.859 0.393

DFT (GGA-PBE) results for an optimized crystal structure of DyHoMg.

E: -10.6 eV for the cell shown
energy relative to the lowest polymorph listed for this composition: 82 meV/atom
N(E_F): 1.269 states/eV per atom
space-group type: P3m1 (156)

a b c (Å): 3.366 5.423 5.423
angles (deg): 120.00 90.00 90.00
Fractional positions:
Mg 0.670 0.667 0.333
Ho 0.951 0.000 0.000
Dy 0.379 0.333 0.667

DFT (GGA-PBE) results for an optimized crystal structure of Dy2Ho7Mg2.

E: -43.6 eV for the cell shown
N(E_F): 1.360 states/eV per atom
space-group type: C2/m (12)

a b c (Å): 8.415 6.481 6.481
angles (deg): 96.09 77.79 77.79
Fractional positions:
Dy 0.500 0.318 0.682
Dy 0.500 0.682 0.318
Ho 0.180 0.117 0.477
Ho 0.820 0.523 0.883
Ho 0.820 0.883 0.523
Ho 0.180 0.477 0.117
Ho 0.000 0.000 0.000
Ho 0.417 0.855 0.855
Ho 0.583 0.145 0.145
Mg 0.835 0.384 0.384
Mg 0.165 0.616 0.616

DFT (GGA-PBE) results for an optimized crystal structure of Dy5Ho2Mg5.

E: -40.0 eV for the cell shown
energy relative to the lowest polymorph listed for this composition: 43 meV/atom
N(E_F): 1.132 states/eV per atom
space-group type: C2/m (12)

a b c (Å): 5.273 6.582 11.301
angles (deg): 108.35 90.00 113.61
Fractional positions:
Dy 0.500 0.000 0.500
Dy 0.658 0.316 0.982
Dy 0.604 0.209 0.254
Dy 0.396 0.791 0.746
Dy 0.342 0.684 0.018
Ho 0.089 0.178 0.742
Ho 0.911 0.822 0.258
Mg 0.173 0.346 0.477
Mg 0.756 0.513 0.759
Mg 0.244 0.487 0.241
Mg 0.827 0.654 0.523
Mg 0.000 0.000 0.000

DFT (GGA-PBE) results for an optimized crystal structure of Dy8Ho5Mg.

E: -58.0 eV for the cell shown
N(E_F): 1.382 states/eV per atom
space-group type: I-4 (82)

a b c (Å): 8.376 8.376 8.376
angles (deg): 110.48 107.47 110.48
Fractional positions:
Dy 0.163 0.729 0.072
Dy 0.928 0.091 0.657
Dy 0.736 0.259 0.341
Dy 0.659 0.395 0.918
Dy 0.523 0.605 0.264
Dy 0.566 0.909 0.837
Dy 0.343 0.271 0.434
Dy 0.082 0.741 0.477
Ho 0.025 0.311 0.127
Ho 0.873 0.898 0.184
Ho 0.816 0.689 0.714
Ho 0.500 0.000 0.500
Ho 0.286 0.102 0.975
Mg 0.250 0.500 0.750

DFT (GGA-PBE) results for an optimized crystal structure of Dy3Ho2Mg7.

E: -32.7 eV for the cell shown
N(E_F): 1.063 states/eV per atom
space-group type: Cmmm (65)

a b c (Å): 5.141 5.130 13.148
angles (deg): 101.25 90.00 90.00
Fractional positions:
Dy 0.500 0.500 0.000
Dy 0.500 0.658 0.317
Dy 0.500 0.342 0.683
Ho 0.000 0.856 0.712
Ho 0.000 0.144 0.288
Mg 0.000 0.428 0.856
Mg 0.000 0.730 0.459
Mg 0.000 0.000 0.000
Mg 0.000 0.572 0.144
Mg 0.500 0.072 0.144
Mg 0.500 0.928 0.856
Mg 0.000 0.270 0.541

DFT (GGA-PBE) results for an optimized crystal structure of DyHo3Mg.

E: -40.0 eV for the cell shown
energy relative to the lowest polymorph listed for this composition: 0 meV/atom
N(E_F): 1.383 states/eV per atom
space-group type: C2/m (12)

a b c (Å): 3.614 6.626 12.915
angles (deg): 86.74 90.00 74.16
Fractional positions:
Dy 0.235 0.531 0.765
Dy 0.765 0.469 0.235
Ho 0.151 0.698 0.435
Ho 0.366 0.268 0.022
Ho 0.034 0.931 0.188
Ho 0.849 0.302 0.565
Ho 0.966 0.069 0.812
Ho 0.634 0.732 0.978
Mg 0.564 0.874 0.622
Mg 0.436 0.126 0.378

DFT (GGA-PBE) results for an optimized crystal structure of Dy12Ho6Mg.

E: -81.7 eV for the cell shown
energy relative to the lowest polymorph listed for this composition: 0 meV/atom
N(E_F): 1.615 states/eV per atom
space-group type: R-3 (148)

a b c (Å): 8.444 8.444 8.444
angles (deg): 88.64 88.64 88.64
Fractional positions:
Dy 0.780 0.539 0.434
Dy 0.434 0.780 0.539
Dy 0.539 0.434 0.780
Dy 0.220 0.461 0.566
Dy 0.566 0.220 0.461
Dy 0.461 0.566 0.220
Dy 0.013 0.185 0.364
Dy 0.815 0.636 0.987
Dy 0.636 0.987 0.815
Dy 0.987 0.815 0.636
Dy 0.185 0.364 0.013
Dy 0.364 0.013 0.185
Ho 0.739 0.903 0.294
Ho 0.706 0.261 0.097
Ho 0.097 0.706 0.261
Ho 0.261 0.097 0.706
Ho 0.294 0.739 0.903
Ho 0.903 0.294 0.739
Mg 0.000 0.000 0.000